First-principles (GGA-PBE) data for an optimized crystal structure of TbYCoPt, as listed in Alexandria.

The structure in POSCAR format:
```
TbYCoPt
1.0
6.882 0.000 0.000
0.000 6.882 0.000
0.000 0.000 6.882
Tb Y Co Pt
4 4 4 4
direct
0.000 0.000 0.000 Tb
0.000 0.500 0.500 Tb
0.500 0.000 0.500 Tb
0.500 0.500 0.000 Tb
0.000 0.000 0.500 Y
0.000 0.500 0.000 Y
0.500 0.000 0.000 Y
0.500 0.500 0.500 Y
0.250 0.250 0.750 Co
0.250 0.750 0.250 Co
0.750 0.250 0.250 Co
0.750 0.750 0.750 Co
0.250 0.250 0.250 Pt
0.250 0.750 0.750 Pt
0.750 0.250 0.750 Pt
0.750 0.750 0.250 Pt
```

- Crystal system: cubic
- Total DFT energy (no corrections): -107.2 eV per cell
- Volume: 326.0 Å³ per cell
- DOS at the Fermi energy: 2.91 states/eV/f.u.

=====

First-principles (GGA-PBE) data for an optimized crystal structure of CoTcPt14, as listed in Alexandria.

The structure in POSCAR format:
```
CoTcPt14
1.0
5.583 0.000 0.000
0.000 5.583 0.000
0.000 0.000 7.863
Co Tc Pt
1 1 14
direct
0.000 0.000 0.000 Co
0.500 0.500 0.000 Tc
0.000 0.000 0.500 Pt
0.000 0.500 0.000 Pt
0.000 0.500 0.500 Pt
0.250 0.250 0.242 Pt
0.250 0.250 0.758 Pt
0.250 0.750 0.242 Pt
0.250 0.750 0.758 Pt
0.500 0.000 0.000 Pt
0.500 0.000 0.500 Pt
0.500 0.500 0.500 Pt
0.750 0.250 0.242 Pt
0.750 0.250 0.758 Pt
0.750 0.750 0.242 Pt
0.750 0.750 0.758 Pt
```

- Crystal system: tetragonal
- Total DFT energy (no corrections): -103.1 eV per cell
- Volume: 245.1 Å³ per cell
- DOS at the Fermi energy: 22.17 states/eV/f.u.

=====

First-principles (GGA-PBE) data for an optimized crystal structure of Co5Tc3Pt12, as listed in Alexandria.

The structure in POSCAR format:
```
Co5Tc3Pt12
1.0
-7.170 7.170 7.170
7.170 -7.170 7.170
7.170 7.170 -7.170
Co Tc Pt
20 12 48
direct
0.000 0.000 0.000 Co
0.000 0.000 0.500 Co
0.000 0.500 0.000 Co
0.000 0.500 0.500 Co
0.125 0.750 0.875 Co
0.125 0.875 0.250 Co
0.250 0.125 0.875 Co
0.250 0.625 0.375 Co
0.375 0.250 0.625 Co
0.375 0.625 0.750 Co
0.500 0.000 0.000 Co
0.500 0.000 0.500 Co
0.500 0.500 0.000 Co
0.500 0.500 0.500 Co
0.625 0.375 0.250 Co
0.625 0.750 0.375 Co
0.750 0.375 0.625 Co
0.750 0.875 0.125 Co
0.875 0.125 0.750 Co
0.875 0.250 0.125 Co
0.125 0.250 0.375 Tc
0.125 0.375 0.750 Tc
0.250 0.375 0.125 Tc
0.250 0.875 0.625 Tc
0.375 0.125 0.250 Tc
0.375 0.750 0.125 Tc
0.625 0.250 0.875 Tc
0.625 0.875 0.750 Tc
0.750 0.125 0.375 Tc
0.750 0.625 0.875 Tc
0.875 0.625 0.250 Tc
0.875 0.750 0.625 Tc
0.057 0.226 0.136 Pt
0.057 0.331 0.921 Pt
0.079 0.636 0.410 Pt
0.079 0.943 0.669 Pt
0.090 0.726 0.669 Pt
0.090 0.864 0.421 Pt
0.136 0.057 0.226 Pt
0.136 0.579 0.910 Pt
0.169 0.226 0.590 Pt
0.169 0.443 0.579 Pt
0.226 0.136 0.057 Pt
0.226 0.590 0.169 Pt
0.274 0.331 0.910 Pt
0.274 0.443 0.364 Pt
0.331 0.910 0.274 Pt
0.331 0.921 0.057 Pt
0.364 0.274 0.443 Pt
0.364 0.590 0.921 Pt
0.410 0.079 0.636 Pt
0.410 0.831 0.774 Pt
0.421 0.090 0.864 Pt
0.421 0.831 0.557 Pt
0.443 0.364 0.274 Pt
0.443 0.579 0.169 Pt
0.557 0.421 0.831 Pt
0.557 0.636 0.726 Pt
0.579 0.169 0.443 Pt
0.579 0.910 0.136 Pt
0.590 0.169 0.226 Pt
0.590 0.921 0.364 Pt
0.636 0.410 0.079 Pt
0.636 0.726 0.557 Pt
0.669 0.079 0.943 Pt
0.669 0.090 0.726 Pt
0.726 0.557 0.636 Pt
0.726 0.669 0.090 Pt
0.774 0.410 0.831 Pt
0.774 0.864 0.943 Pt
0.831 0.557 0.421 Pt
0.831 0.774 0.410 Pt
0.864 0.421 0.090 Pt
0.864 0.943 0.774 Pt
0.910 0.136 0.579 Pt
0.910 0.274 0.331 Pt
0.921 0.057 0.331 Pt
0.921 0.364 0.590 Pt
0.943 0.669 0.079 Pt
0.943 0.774 0.864 Pt
```

- Crystal system: cubic
- Total DFT energy (no corrections): -506.4 eV per cell
- Volume: 1474.4 Å³ per cell
- DOS at the Fermi energy: 30.23 states/eV/f.u.

=====

The energy relative to the elements results, record by record, are as follows: -0.6408, -0.0659, 0.6254 eV/atom.